No. 1
# CaFe3Cl

An optimized crystal structure of CaFe3Cl (PBE-GGA, the Alexandria database).

Geometry as POSCAR:
```
CaFe3Cl
1.0
4.279 0.000 0.000
0.000 4.279 0.000
0.000 0.000 4.279
Ca Fe Cl
1 3 1
direct
0.000 0.000 0.000
0.000 0.500 0.500
0.500 0.000 0.500
0.500 0.500 0.000
0.500 0.500 0.500
```

Output
- SG = No. 221
- electronic total energy (eV/cell) = -26.26
- mass density (Mg/m³) = 5.2
- uncorrected formation energy (eV/atom) = 0.595
- magnetization (μB/f.u.) = 5.2

No. 2
# CaPrRe2O8

An optimized crystal structure of CaPrRe2O8 (PBE-GGA, the Alexandria database).

Geometry as POSCAR:
```
CaPrRe2O8
1.0
6.007 0.000 0.000
-3.004 5.203 0.000
0.000 0.000 6.946
Ca Pr Re O
1 1 2 8
direct
0.000 0.000 0.000
0.000 0.000 0.500
0.333 0.667 0.823
0.667 0.333 0.177
0.164 0.328 0.741
0.164 0.836 0.741
0.328 0.164 0.259
0.333 0.667 0.078
0.667 0.333 0.922
0.672 0.836 0.741
0.836 0.164 0.259
0.836 0.672 0.259
```

Output
- SG = No. 164
- electronic total energy (eV/cell) = -95.29
- mass density (Mg/m³) = 5.2
- uncorrected formation energy (eV/atom) = -1.995
- magnetization (μB/f.u.) = 3.0

No. 3
# MnAlZnAu

An optimized crystal structure of MnAlZnAu (PBE-GGA, the Alexandria database).

Geometry as POSCAR:
```
MnAlZnAu
1.0
6.244 0.000 0.000
0.000 6.244 0.000
0.000 0.000 6.244
Mn Al Zn Au
4 4 4 4
direct
0.000 0.000 0.000
0.000 0.500 0.500
0.500 0.000 0.500
0.500 0.500 0.000
0.250 0.250 0.750
0.250 0.750 0.250
0.750 0.250 0.250
0.750 0.750 0.750
0.250 0.250 0.250
0.250 0.750 0.750
0.750 0.250 0.750
0.750 0.750 0.250
0.000 0.000 0.500
0.000 0.500 0.000
0.500 0.000 0.000
0.500 0.500 0.500
```

Output
- SG = No. 216
- electronic total energy (eV/cell) = -71.72
- mass density (Mg/m³) = 9.4
- energy relative to the elements (kJ per mole of atoms) = -11.2
- magnetization (μB/f.u.) = 3.4

No. 4
# Pm2BiRhO6

An optimized crystal structure of Pm2BiRhO6 (PBE-GGA, the Alexandria database).

Geometry as POSCAR:
```
Pm2BiRhO6
1.0
5.672 0.000 0.000
0.000 6.040 0.000
-5.332 0.000 8.250
Pm Bi Rh O
4 2 2 12
direct
0.219 0.069 0.248
0.219 0.431 0.748
0.781 0.569 0.252
0.781 0.931 0.752
0.500 0.000 0.000
0.500 0.500 0.500
0.000 0.000 0.500
0.000 0.500 0.000
0.096 0.206 0.927
0.096 0.294 0.427
0.226 0.685 0.930
0.226 0.815 0.430
0.372 0.064 0.728
0.372 0.436 0.228
0.628 0.564 0.772
0.628 0.936 0.272
0.774 0.185 0.570
0.774 0.315 0.070
0.904 0.706 0.573
0.904 0.794 0.073
```

Output
- SG = No. 14
- electronic total energy (eV/cell) = -143.20
- mass density (Mg/m³) = 8.2
- uncorrected formation energy (eV/atom) = -2.112
- magnetization (μB/f.u.) = 0.0

No. 5
# Tm5ZnRh4

An optimized crystal structure of Tm5ZnRh4 (PBE-GGA, the Alexandria database).

Geometry as POSCAR:
```
Tm5ZnRh4
1.0
3.396 0.000 0.000
0.000 3.396 0.000
0.000 0.000 17.149
Tm Zn Rh
5 1 4
direct
0.000 0.000 0.000
0.000 0.000 0.196
0.000 0.000 0.391
0.000 0.000 0.609
0.000 0.000 0.804
0.500 0.500 0.500
0.500 0.500 0.098
0.500 0.500 0.296
0.500 0.500 0.704
0.500 0.500 0.902
```

Output
- SG = No. 123
- electronic total energy (eV/cell) = -61.53
- mass density (Mg/m³) = 11.1
- energy relative to the elements (kJ per mole of atoms) = -81.9
- magnetization (μB/f.u.) = 0.0

No. 6
# KAlCr3

An optimized crystal structure of KAlCr3 (PBE-GGA, the Alexandria database).

Geometry as POSCAR:
```
KAlCr3
1.0
5.148 0.000 0.000
0.000 5.148 0.000
0.000 0.000 5.148
K Al Cr
1 1 3
direct
0.000 0.000 0.000
0.500 0.500 0.500
0.000 0.500 0.500
0.500 0.000 0.500
0.500 0.500 0.000
```

Output
- SG = No. 221
- electronic total energy (eV/cell) = -27.72
- mass density (Mg/m³) = 2.7
- energy relative to the elements (kJ per mole of atoms) = 115.6
- magnetization (μB/f.u.) = 13.9

No. 7
# La3Pm2NdAs6

An optimized crystal structure of La3Pm2NdAs6 (PBE-GGA, the Alexandria database).

Geometry as POSCAR:
```
La3Pm2NdAs6
1.0
3.735 -6.469 0.000
3.735 6.469 0.000
-2.488 0.000 7.045
La Pm Nd As
3 2 1 6
direct
0.000 0.000 0.000
0.334 0.666 0.000
0.666 0.334 0.000
0.167 0.833 0.500
0.833 0.167 0.500
0.500 0.500 0.500
0.084 0.418 0.255
0.247 0.247 0.745
0.418 0.084 0.255
0.582 0.916 0.745
0.753 0.753 0.255
0.916 0.582 0.745
```

Output
- SG = No. 12
- electronic total energy (eV/cell) = -75.51
- mass density (Mg/m³) = 6.3
- energy relative to the elements (kJ per mole of atoms) = -149.3
- magnetization (μB/f.u.) = 0.0

No. 8
# AcSbPdO6

An optimized crystal structure of AcSbPdO6 (PBE-GGA, the Alexandria database).

Geometry as POSCAR:
```
AcSbPdO6
1.0
5.078 0.000 0.000
0.000 5.078 0.000
0.000 0.000 9.992
Ac Sb Pd O
2 2 2 12
direct
0.000 0.000 0.000
0.500 0.500 0.500
0.000 0.000 0.336
0.500 0.500 0.836
0.000 0.000 0.672
0.500 0.500 0.172
0.166 0.166 0.504
0.208 0.208 0.194
0.218 0.218 0.820
0.282 0.718 0.320
0.292 0.708 0.694
0.334 0.666 0.004
0.666 0.334 0.004
0.708 0.292 0.694
0.718 0.282 0.320
0.782 0.782 0.820
0.792 0.792 0.194
0.834 0.834 0.504
```

Output
- SG = No. 102
- electronic total energy (eV/cell) = -112.20
- mass density (Mg/m³) = 7.1
- uncorrected formation energy (eV/atom) = -1.436
- magnetization (μB/f.u.) = 0.0

No. 9
# BiTePt

An optimized crystal structure of BiTePt (PBE-GGA, the Alexandria database).

Geometry as POSCAR:
```
BiTePt
1.0
4.139 0.000 0.000
-2.070 3.585 0.000
0.000 0.000 5.439
Bi Te Pt
1 1 1
direct
0.000 0.000 0.000
0.333 0.667 0.507
0.667 0.333 0.270
```

Output
- SG = No. 156
- electronic total energy (eV/cell) = -14.09
- mass density (Mg/m³) = 10.9
- uncorrected formation energy (eV/atom) = -0.343
- magnetization (μB/f.u.) = 0.0

No. 10
# LaHoCo

An optimized crystal structure of LaHoCo (PBE-GGA, the Alexandria database).

Geometry as POSCAR:
```
LaHoCo
1.0
6.768 0.000 0.000
0.000 6.768 0.000
0.000 0.000 6.768
La Ho Co
4 4 4
direct
0.000 0.000 0.000
0.000 0.500 0.500
0.500 0.000 0.500
0.500 0.500 0.000
0.000 0.000 0.500
0.000 0.500 0.000
0.500 0.000 0.000
0.500 0.500 0.500
0.250 0.250 0.250
0.250 0.750 0.750
0.750 0.250 0.750
0.750 0.750 0.250
```

Output
- SG = No. 216
- electronic total energy (eV/cell) = -66.60
- mass density (Mg/m³) = 7.8
- energy relative to the elements (kJ per mole of atoms) = -1.2
- magnetization (μB/f.u.) = 0.0

No. 11
# TaPb2

An optimized crystal structure of TaPb2 (PBE-GGA, the Alexandria database).

Geometry as POSCAR:
```
TaPb2
1.0
5.387 0.000 0.000
-2.693 4.665 0.000
0.000 0.000 2.986
Ta Pb
1 2
direct
0.000 0.000 0.000
0.333 0.667 0.500
0.667 0.333 0.500
```

Output
- SG = No. 191
- electronic total energy (eV/cell) = -16.77
- mass density (Mg/m³) = 13.2
- energy relative to the elements (kJ per mole of atoms) = 80.3
- magnetization (μB/f.u.) = 0.0

No. 12
# ZnTc3Br

An optimized crystal structure of ZnTc3Br (PBE-GGA, the Alexandria database).

Geometry as POSCAR:
```
ZnTc3Br
1.0
4.547 0.000 0.000
0.000 4.547 0.000
0.000 0.000 4.547
Zn Tc Br
1 3 1
direct
0.000 0.000 0.000
0.000 0.500 0.500
0.500 0.000 0.500
0.500 0.500 0.000
0.500 0.500 0.500
```

Output
- SG = No. 221
- electronic total energy (eV/cell) = -26.24
- mass density (Mg/m³) = 7.8
- uncorrected formation energy (eV/atom) = 1.561
- magnetization (μB/f.u.) = 2.0

No. 13
# BeNiTe

An optimized crystal structure of BeNiTe (PBE-GGA, the Alexandria database).

Geometry as POSCAR:
```
BeNiTe
1.0
4.529 0.000 0.000
-2.264 3.922 0.000
0.000 0.000 5.240
Be Ni Te
2 2 2
direct
0.000 0.000 0.000
0.000 0.000 0.500
0.333 0.667 0.250
0.667 0.333 0.750
0.333 0.667 0.750
0.667 0.333 0.250
```

Output
- SG = No. 194
- electronic total energy (eV/cell) = -22.79
- mass density (Mg/m³) = 7.0
- uncorrected formation energy (eV/atom) = 0.418
- magnetization (μB/f.u.) = 0.0

No. 14
# KTl2Zn2

An optimized crystal structure of KTl2Zn2 (PBE-GGA, the Alexandria database).

Geometry as POSCAR:
```
KTl2Zn2
1.0
4.887 0.000 0.000
0.000 4.887 0.000
0.000 0.000 11.760
K Tl Zn
2 4 4
direct
0.000 0.000 0.000
0.500 0.500 0.500
0.000 0.500 0.250
0.000 0.500 0.750
0.500 0.000 0.250
0.500 0.000 0.750
0.000 0.000 0.392
0.000 0.000 0.608
0.500 0.500 0.108
0.500 0.500 0.892
```

Output
- SG = No. 139
- electronic total energy (eV/cell) = -16.59
- mass density (Mg/m³) = 6.8
- energy relative to the elements (kJ per mole of atoms) = 1.6
- magnetization (μB/f.u.) = 0.0

No. 15
# Dy9Er4In11

An optimized crystal structure of Dy9Er4In11 (PBE-GGA, the Alexandria database).

Geometry as POSCAR:
```
Dy9Er4In11
1.0
8.859 -10.511 0.000
8.859 10.511 0.000
0.000 0.000 3.454
Dy Er In
9 4 11
direct
0.000 0.000 0.000
0.125 0.644 0.000
0.292 0.469 0.000
0.356 0.875 0.000
0.469 0.292 0.000
0.531 0.708 0.000
0.644 0.125 0.000
0.708 0.531 0.000
0.875 0.356 0.000
0.070 0.236 0.000
0.236 0.070 0.000
0.764 0.930 0.000
0.930 0.764 0.000
0.081 0.434 0.500
0.137 0.863 0.500
0.267 0.267 0.500
0.330 0.670 0.500
0.434 0.081 0.500
0.500 0.500 0.500
0.566 0.919 0.500
0.670 0.330 0.500
0.733 0.733 0.500
0.863 0.137 0.500
0.919 0.566 0.500
```

Output
- SG = No. 65
- electronic total energy (eV/cell) = -98.91
- mass density (Mg/m³) = 8.8
- energy relative to the elements (kJ per mole of atoms) = -36.6
- magnetization (μB/f.u.) = 0.0

No. 16
# ErTmTh

An optimized crystal structure of ErTmTh (PBE-GGA, the Alexandria database).

Geometry as POSCAR:
```
ErTmTh
1.0
1.779 1.027 17.065
-1.779 1.027 17.065
0.000 -2.054 17.065
Er Tm Th
2 2 2
direct
0.194 0.194 0.194
0.806 0.806 0.806
0.084 0.084 0.084
0.916 0.916 0.916
0.361 0.361 0.361
0.639 0.639 0.639
```

Output
- SG = No. 166
- electronic total energy (eV/cell) = -32.80
- mass density (Mg/m³) = 10.1
- energy relative to the elements (kJ per mole of atoms) = 1.8
- magnetization (μB/f.u.) = 0.1

No. 17
# Ce2PuAu6

An optimized crystal structure of Ce2PuAu6 (PBE-GGA, the Alexandria database).

Geometry as POSCAR:
```
Ce2PuAu6
1.0
-1.816 3.932 7.431
1.816 -3.932 7.431
1.816 3.932 -7.431
Ce Pu Au
2 1 6
direct
0.142 0.142 0.000
0.858 0.858 0.000
0.500 0.000 0.500
0.143 0.325 0.818
0.183 0.500 0.683
0.493 0.675 0.818
0.507 0.325 0.182
0.817 0.500 0.317
0.857 0.675 0.182
```

Output
- SG = No. 71
- electronic total energy (eV/cell) = -50.65
- mass density (Mg/m³) = 13.3
- energy relative to the elements (kJ per mole of atoms) = -51.3
- magnetization (μB/f.u.) = 4.0

No. 18
# BaMgSc2

An optimized crystal structure of BaMgSc2 (PBE-GGA, the Alexandria database).

Geometry as POSCAR:
```
BaMgSc2
1.0
5.453 0.000 0.000
0.000 5.453 0.000
0.000 0.000 22.481
Ba Mg Sc
4 4 8
direct
0.000 0.000 0.000
0.000 0.500 0.250
0.500 0.000 0.750
0.500 0.500 0.500
0.000 0.000 0.500
0.000 0.500 0.750
0.500 0.000 0.250
0.500 0.500 0.000
0.001 0.750 0.625
0.250 0.001 0.375
0.250 0.499 0.875
0.499 0.750 0.125
0.501 0.250 0.125
0.750 0.501 0.875
0.750 0.999 0.375
0.999 0.250 0.625
```

Output
- SG = No. 122
- electronic total energy (eV/cell) = -52.94
- mass density (Mg/m³) = 2.5
- energy relative to the elements (kJ per mole of atoms) = 71.1
- magnetization (μB/f.u.) = 2.5

No. 19
# Sr2HgMo

An optimized crystal structure of Sr2HgMo (PBE-GGA, the Alexandria database).

Geometry as POSCAR:
```
Sr2HgMo
1.0
3.883 0.000 0.000
0.000 3.929 0.000
-0.019 0.000 7.910
Sr Hg Mo
2 1 1
direct
0.001 0.000 0.257
0.999 0.000 0.743
0.500 0.500 0.000
0.500 0.500 0.500
```

Output
- SG = No. 10
- electronic total energy (eV/cell) = -12.48
- mass density (Mg/m³) = 6.5
- energy relative to the elements (kJ per mole of atoms) = 48.7
- magnetization (μB/f.u.) = 3.1

No. 20
# AcPmCoPt

An optimized crystal structure of AcPmCoPt (PBE-GGA, the Alexandria database).

Geometry as POSCAR:
```
AcPmCoPt
1.0
7.235 0.000 0.000
0.000 7.235 0.000
0.000 0.000 7.235
Ac Pm Co Pt
4 4 4 4
direct
0.000 0.000 0.000
0.000 0.500 0.500
0.500 0.000 0.500
0.500 0.500 0.000
0.000 0.000 0.500
0.000 0.500 0.000
0.500 0.000 0.000
0.500 0.500 0.500
0.250 0.250 0.750
0.250 0.750 0.250
0.750 0.250 0.250
0.750 0.750 0.750
0.250 0.250 0.250
0.250 0.750 0.750
0.750 0.250 0.750
0.750 0.750 0.250
```

Output
- SG = No. 216
- electronic total energy (eV/cell) = -94.75
- mass density (Mg/m³) = 11.0
- energy relative to the elements (kJ per mole of atoms) = -40.6
- magnetization (μB/f.u.) = 0.0

No. 21
# Pu2ZnBi

An optimized crystal structure of Pu2ZnBi (PBE-GGA, the Alexandria database).

Geometry as POSCAR:
```
Pu2ZnBi
1.0
7.524 0.000 0.000
0.000 7.524 0.000
0.000 0.000 7.524
Pu Zn Bi
8 4 4
direct
0.250 0.250 0.250
0.250 0.250 0.750
0.250 0.750 0.250
0.250 0.750 0.750
0.750 0.250 0.250
0.750 0.250 0.750
0.750 0.750 0.250
0.750 0.750 0.750
0.000 0.000 0.000
0.000 0.500 0.500
0.500 0.000 0.500
0.500 0.500 0.000
0.000 0.000 0.500
0.000 0.500 0.000
0.500 0.000 0.000
0.500 0.500 0.500
```

Output
- SG = No. 225
- electronic total energy (eV/cell) = -137.92
- mass density (Mg/m³) = 11.9
- energy relative to the elements (kJ per mole of atoms) = -16.0
- magnetization (μB/f.u.) = 12.9

No. 22
# SrPaSn

An optimized crystal structure of SrPaSn (PBE-GGA, the Alexandria database).

Geometry as POSCAR:
```
SrPaSn
1.0
3.463 0.000 0.000
-1.731 2.999 0.000
0.000 0.000 17.521
Sr Pa Sn
2 2 2
direct
0.000 0.000 0.161
0.000 0.000 0.839
0.333 0.667 0.351
0.333 0.667 0.649
0.000 0.000 0.500
0.333 0.667 0.000
```

Output
- SG = No. 187
- electronic total energy (eV/cell) = -29.30
- mass density (Mg/m³) = 8.0
- energy relative to the elements (kJ per mole of atoms) = 17.1
- magnetization (μB/f.u.) = 0.2

No. 23
# Tl6Cd2Pb

An optimized crystal structure of Tl6Cd2Pb (PBE-GGA, the Alexandria database).

Geometry as POSCAR:
```
Tl6Cd2Pb
1.0
0.000 7.243 7.632
2.381 0.000 7.632
2.381 7.243 0.000
Tl Cd Pb
6 2 1
direct
0.163 0.163 0.837
0.173 0.509 0.491
0.491 0.827 0.173
0.509 0.173 0.827
0.827 0.491 0.509
0.837 0.837 0.163
0.170 0.830 0.170
0.830 0.170 0.830
0.500 0.500 0.500
```

Output
- SG = No. 69
- electronic total energy (eV/cell) = -19.43
- mass density (Mg/m³) = 10.5
- energy relative to the elements (kJ per mole of atoms) = 3.3
- magnetization (μB/f.u.) = 0.0

No. 24
# BTe2PdN

An optimized crystal structure of BTe2PdN (PBE-GGA, the Alexandria database).

Geometry as POSCAR:
```
BTe2PdN
1.0
5.532 0.000 0.000
0.000 5.532 0.000
0.000 0.000 3.656
B Te Pd N
1 2 1 1
direct
0.000 0.000 0.000
0.000 0.500 0.500
0.500 0.000 0.500
0.500 0.500 0.500
0.500 0.500 0.000
```

Output
- SG = No. 123
- electronic total energy (eV/cell) = -19.27
- mass density (Mg/m³) = 5.7
- uncorrected formation energy (eV/atom) = 1.442
- magnetization (μB/f.u.) = 0.0

No. 25
# TaFe3Rh

An optimized crystal structure of TaFe3Rh (PBE-GGA, the Alexandria database).

Geometry as POSCAR:
```
TaFe3Rh
1.0
4.331 0.000 0.000
0.000 4.331 0.000
0.000 0.000 4.331
Ta Fe Rh
1 3 1
direct
0.000 0.000 0.000
0.000 0.500 0.500
0.500 0.000 0.500
0.500 0.500 0.000
0.500 0.500 0.500
```

Output
- SG = No. 221
- electronic total energy (eV/cell) = -36.25
- mass density (Mg/m³) = 9.2
- energy relative to the elements (kJ per mole of atoms) = 160.9
- magnetization (μB/f.u.) = 0.0